# 1
Entry from Alexandria via LeMat-Bulk: a relaxed TbHf4Rh5 crystal (GGA-PBE).

extended XYZ file:
```
10
Lattice="3.281 0.000 0.000 0.000 3.281 0.000 0.000 0.000 16.862" Properties=species:S:1:pos:R:3 pbc="T T T"
Tb 0.000 0.000 0.000
Hf 0.000 0.000 3.507
Hf 0.000 0.000 6.803
Hf 0.000 0.000 10.059
Hf 0.000 0.000 13.355
Rh 1.641 1.641 2.069
Rh 1.641 1.641 5.232
Rh 1.641 1.641 8.431
Rh 1.641 1.641 11.629
Rh 1.641 1.641 14.793
```

Summary:
SG   P4/mmm (123)

# 2
Entry from Alexandria via LeMat-Bulk: a relaxed Zn2InP crystal (GGA-PBE).

extended XYZ file:
```
8
Lattice="6.430 0.000 0.000 0.000 6.430 0.000 3.215 3.215 4.602" Properties=species:S:1:pos:R:3 pbc="T T T"
P 3.215 3.215 0.000
P 3.215 6.430 2.301
Zn 4.407 1.608 1.151
Zn 2.023 4.823 1.151
Zn 4.823 5.238 3.452
Zn 8.038 7.622 3.452
In 0.000 0.000 0.000
In 6.430 3.215 2.301
```

Summary:
SG   I-42d (122)

no.,formation enthalpy at 0 K (eV/atom),ρ (g/cm³),total magnetic moment (μB/f.u.)
1,-0.884,12.692,0.00
2,0.107,4.827,0.00